4
Lattice="3.801 0.000 0.000 0.000 3.834 0.000 0.000 0.000 3.834" Properties=species:S:1:pos:R:3 comment="ReIr2Rh (GGA-PBEsol, optimized geometry)" dos_ef_per_ev_fu=3.696 sg="No. 123" formation_energy_ev_per_atom=-0.08 polymorph_energy_kj_per_mol_fu=21.1 pbc="T T T"
Re 1.901 1.917 1.917
Ir 0.000 0.000 1.917
Ir 0.000 1.917 0.000
Rh 1.901 0.000 0.000